DFT (PBE) results for an optimized crystal structure of AcPmAg.

a = 4.953 Å, b = 4.952 Å, c = 8.074 Å
α = 90.00°, β = 90.00°, γ = 89.99°
Positions (direct):
Pm: 0.314 0.866 0.920
Ac: 0.314 0.367 0.290
Ac: 0.813 0.866 0.549
Pm: 0.814 0.366 0.920
Ag: 0.314 0.366 0.678
Ag: 0.814 0.866 0.161

Computed properties:
- electronic total energy (eV per atom) = -4.04
- calculated volume (Å³ per cell) = 198.0
- energy relative to the lowest polymorph listed for this composition (eV per atom) = 0.004
- ΔE_f (meV per atom) = -132
- space group = P4/nmm (129)
- magnetization (μB/f.u.) = 0.000

=====

DFT (PBE) results for an optimized crystal structure of ThTlSe3.

a = 4.255 Å, b = 9.465 Å, c = 7.548 Å
α = 90.00°, β = 90.00°, γ = 90.00°
Positions (direct):
Se: 0.000 0.291 0.407
Tl: 0.500 0.132 0.233
Se: 0.500 0.825 0.331
Tl: 0.500 0.868 0.733
Se: 0.500 0.465 0.056
Th: 0.000 0.397 0.778
Se: 0.500 0.535 0.556
Se: 0.000 0.709 0.907
Th: 0.000 0.603 0.278
Se: 0.500 0.175 0.831

Computed properties:
- electronic total energy (eV per atom) = -5.12
- calculated volume (Å³ per cell) = 303.9
- energy relative to the lowest polymorph listed for this composition (eV per atom) = 0.085
- space group = Pmc2_1 (26)
- ΔE_f (raw) (eV/atom) = -1.067
- magnetization (μB/f.u.) = 0.000

=====

DFT (PBE) results for an optimized crystal structure of BaHoN.

a = 6.913 Å, b = 3.687 Å, c = 3.687 Å
α = 120.00°, β = 90.00°, γ = 90.00°
Positions (direct):
N: 0.271 0.333 0.667
Ba: 0.578 0.667 0.333
Ho: 0.150 0.000 0.000

Computed properties:
- electronic total energy (eV per atom) = -5.67
- calculated volume (Å³ per cell) = 81.4
- energy relative to the lowest polymorph listed for this composition (eV per atom) = 0.025
- space group = P3m1 (156)
- ΔE_f (raw) (eV/atom) = -0.733
- magnetization (μB/f.u.) = 0.000

=====

DFT (PBE) results for an optimized crystal structure of LaZrCd2.

a = 5.278 Å, b = 5.278 Å, c = 5.278 Å
α = 60.00°, β = 60.00°, γ = 60.00°
Each line ends with the local moment (μB).
Positions (direct):
Zr: 0.000 0.000 0.000  0.34
Cd: 0.250 0.250 0.250  0.01
La: 0.500 0.500 0.500  0.09
Cd: 0.750 0.750 0.750  0.01

Computed properties:
- electronic total energy (eV per atom) = -3.90
- calculated volume (Å³ per cell) = 104.0
- energy relative to the lowest polymorph listed for this composition (eV per atom) = 0.092
- ΔE_f (meV per atom) = -76
- space group = Fm-3m (225)
- magnetization (μB/f.u.) = 0.808

=====

DFT (PBE) results for an optimized crystal structure of KMgTiC2.

a = 4.338 Å, b = 4.338 Å, c = 4.806 Å
α = 90.00°, β = 90.00°, γ = 90.00°
Positions (direct):
Ti: 0.000 0.000 0.500
C: 0.000 0.500 0.000
Mg: 0.000 0.000 0.000
C: 0.500 0.000 0.000
K: 0.500 0.500 0.500

Computed properties:
- electronic total energy (eV per atom) = -3.48
- calculated volume (Å³ per cell) = 90.5
- ΔE_f (meV per atom) = 2331
- space group = P4/mmm (123)
- magnetization (μB/f.u.) = 0.000

=====

DFT (PBE) results for an optimized crystal structure of Hf2Pd12Au5.

a = 8.604 Å, b = 7.591 Å, c = 6.008 Å
α = 91.39°, β = 90.00°, γ = 124.52°
Positions (direct):
Pd: 0.166 0.798 0.388
Au: 0.664 0.328 0.907
Pd: 0.876 0.752 0.090
Au: 0.000 0.000 0.500
Au: 0.763 0.525 0.488
Pd: 0.548 0.096 0.289
Pd: 0.124 0.248 0.910
Pd: 0.439 0.384 0.197
Hf: 0.750 0.000 0.000
Pd: 0.368 0.202 0.612
Au: 0.336 0.672 0.093
Pd: 0.834 0.202 0.612
Au: 0.237 0.475 0.512
Pd: 0.561 0.616 0.803
Hf: 0.250 0.000 0.000
Pd: 0.054 0.616 0.803
Pd: 0.632 0.798 0.388
Pd: 0.946 0.384 0.197
Pd: 0.452 0.904 0.711

Computed properties:
- electronic total energy (eV per atom) = -5.51
- calculated volume (Å³ per cell) = 323.2
- ΔE_f (meV per atom) = -316
- space group = C2/m (12)
- magnetization (μB/f.u.) = 0.000

=====

- Which of these has the highest magnetization?
  LaZrCd2

=====

- The lowest electronic total energy belongs to which entry?
  BaHoN

=====

- calculated volume of number 2 (ThTlSe3)?
  303.9 Å³ per cell